Below is Li6NOF2 after structural relaxation, with properties calculated at the GGA-PBE level.

Density, g cm⁻³: 1.826
Energy, eV/cell: -89.7

a = 8.716 Å, b = 5.441 Å, c = 4.995 Å
α = 90.00°, β = 122.66°, γ = 90.00°
Space group C2/m (No. 12)
Inequivalent atoms, fractional coordinates:
Li: 0.082 0.237 0.327
Li: 0.246 0.000 0.068
N: 0.000 0.500 0.500
O: 0.000 0.000 0.000
F: 0.245 0.500 0.311


Below is LiS2NO4F2 after structural relaxation, with properties calculated at the GGA-PBE level.

Density, g cm⁻³: 2.124
Fermi-level density of states, states/eV per atom: 0.00
Energy, eV/cell: -333.1

a = 8.8582 Å, b = 8.8582 Å, c = 12.9118 Å
α = 90.00°, β = 90.00°, γ = 120.00°
Space group P6_3/m (No. 176)
Inequivalent atoms, fractional coordinates:
Li: 0.3333 0.6667 0.0171
Li: 0.3333 0.6667 0.2500
S: 0.0243 0.6592 0.6426
N: 0.1204 0.7116 0.7500
O: 0.1336 0.5095 0.1392
O: 0.1502 0.7010 0.5621
F: 0.0437 0.2060 0.1270


Below is Li2OsNF after structural relaxation, with properties calculated at the GGA-PBE level.

Density, g cm⁻³: 4.135
Fermi-level density of states, states/eV per atom: 0.69
Energy, eV/cell: -26.0

a = 5.097 Å, b = 5.097 Å, c = 3.664 Å
α = 90.00°, β = 90.00°, γ = 90.00°
Space group P4/mmm (No. 123)
Inequivalent atoms, fractional coordinates:
Li: 0.000 0.500 0.000
Os: 0.000 0.000 0.000
N: 0.000 0.000 0.500
F: 0.500 0.500 0.500